(1)
Here is CaSc4Tl after structural relaxation from Alexandria via LeMat-Bulk. Energies are from GGA-PBE.

Cell lengths 6.107, 6.107, 6.107 Å; angles 60.00, 60.00, 60.00 degrees
Positions (direct):
Sc1 0.375 0.375 0.375
Sc2 0.875 0.375 0.375
Sc3 0.375 0.875 0.375
Sc4 0.375 0.375 0.875
Tl1 0.750 0.750 0.750
Ca1 0.000 0.000 0.000

For the density of states at the Fermi level, the calculation gives 7.055 states/eV per cell. The formation energy from the elements is 171 meV/atom.

(2)
Here is CaScSn after structural relaxation from Alexandria via LeMat-Bulk. Energies are from GGA-PBE.

Cell lengths 4.641, 4.641, 8.007 Å; angles 90.00, 90.00, 90.00 degrees
Last column: magnetic moment on the atom in μB.
Positions (direct):
Sn1 0.500 0.000 0.741  -0.02
Sn2 0.000 0.500 0.259  -0.02
Ca1 0.500 0.000 0.152  0.04
Ca2 0.000 0.500 0.848  0.04
Sc1 0.500 0.500 0.500  0.44
Sc2 0.000 0.000 0.500  0.44

For the density of states at the Fermi level, the calculation gives 3.692 states/eV per cell. The formation energy from the elements is -589 meV/atom.

(3)
Here is V2SiPd after structural relaxation from Alexandria via LeMat-Bulk. Energies are from GGA-PBE.

Cell lengths 6.880, 6.880, 5.470 Å; angles 51.03, 51.03, 90.00 degrees
Positions (direct):
V1 0.137 0.625 0.250
V2 0.875 0.863 0.750
V3 0.375 0.387 0.750
V4 0.613 0.125 0.250
Si1 0.500 0.500 0.000
Si2 0.250 0.750 0.500
Pd1 0.000 0.000 0.000
Pd2 0.750 0.250 0.500

Its energy relative to the elements, uncorrected is 0.099 eV per atom. For the density of states at the Fermi level, the calculation gives 7.603 states/eV per cell.

(4)
Here is In2PAu after structural relaxation from Alexandria via LeMat-Bulk. Energies are from GGA-PBE.

Cell lengths 6.575, 6.575, 3.863 Å; angles 73.00, 73.00, 34.16 degrees
Positions (direct):
Au1 0.273 0.273 0.978
P1 0.483 0.483 0.767
In1 0.716 0.716 0.535
In2 0.029 0.029 0.220

For the density of states at the Fermi level, the calculation gives 0.961 states/eV per cell. The formation energy from the elements is -94 meV/atom.

(5)
Here is Sm2ErMg after structural relaxation from Alexandria via LeMat-Bulk. Energies are from GGA-PBE.

Cell lengths 3.470, 3.470, 12.520 Å; angles 82.03, 82.03, 60.00 degrees
Positions (direct):
Sm1 0.090 0.090 0.731
Sm2 0.910 0.910 0.269
Er1 0.500 0.500 0.500
Mg1 0.000 0.000 0.000

For the density of states at the Fermi level, the calculation gives 3.770 states/eV per cell. The formation energy from the elements is 181 meV/atom. The excess energy over the best structure of this formula in the dataset comes out at 80 kJ/mol of formula units.

(6)
Here is TlOs2Se after structural relaxation from Alexandria via LeMat-Bulk. Energies are from GGA-PBE.

Cell lengths 2.911, 2.911, 9.214 Å; angles 90.00, 90.00, 90.00 degrees
Positions (direct):
Tl1 0.500 0.500 0.792
Se1 0.000 0.000 0.423
Os1 0.500 0.500 0.232
Os2 0.000 0.000 0.053

Its energy relative to the elements, uncorrected is 0.503 eV per atom. For the density of states at the Fermi level, the calculation gives 3.861 states/eV per cell. The excess energy over the best structure of this formula in the dataset comes out at 14 kJ/mol of formula units.

(7)
Here is Pr10Tm4Th after structural relaxation from Alexandria via LeMat-Bulk. Energies are from GGA-PBE.

Cell lengths 10.884, 8.988, 8.988 Å; angles 68.49, 52.73, 52.73 degrees
Positions (direct):
Tm1 0.445 0.328 0.783
Tm2 0.772 0.783 0.672
Tm3 0.228 0.217 0.328
Tm4 0.555 0.672 0.217
Pr1 0.397 0.894 0.655
Pr2 0.948 0.655 0.106
Pr3 0.750 0.500 0.500
Pr4 0.709 0.345 0.894
Pr5 0.054 0.894 0.655
Pr6 0.946 0.106 0.345
Pr7 0.250 0.500 0.500
Pr8 0.291 0.655 0.106
Pr9 0.603 0.106 0.345
Pr10 0.052 0.345 0.894
Th1 0.000 0.000 0.000

For the density of states at the Fermi level, the calculation gives 25.600 states/eV per cell. The formation energy from the elements is 466 meV/atom.

(8)
Here is YHf2Cl after structural relaxation from Alexandria via LeMat-Bulk. Energies are from GGA-PBE.

Cell lengths 5.130, 5.130, 5.130 Å; angles 60.00, 60.00, 60.00 degrees
Last column: magnetic moment on the atom in μB.
Positions (direct):
Hf1 0.250 0.250 0.250  0.29
Hf2 0.750 0.750 0.750  0.29
Y1 0.500 0.500 0.500  0.39
Cl1 0.000 0.000 0.000  0.00

Its energy relative to the elements, uncorrected is 0.636 eV per atom. For the density of states at the Fermi level, the calculation gives 5.909 states/eV per cell. The excess energy over the best structure of this formula in the dataset comes out at 210 kJ/mol of formula units.

(9)
Here is Zn3In12As5 after structural relaxation from Alexandria via LeMat-Bulk. Energies are from GGA-PBE.

Cell lengths 14.176, 14.176, 14.176 Å; angles 109.47, 109.47, 109.47 degrees
Positions (direct):
As1 0.500 0.500 0.500
As2 0.625 0.875 0.250
As3 0.875 0.250 0.625
As4 0.250 0.875 0.125
As5 0.750 0.125 0.875
As6 0.375 0.250 0.125
As7 0.500 0.000 0.000
As8 0.000 0.000 0.000
As9 0.500 0.000 0.500
As10 0.000 0.000 0.500
As11 0.125 0.750 0.375
As12 0.000 0.500 0.500
As13 0.500 0.500 0.000
As14 0.875 0.625 0.750
As15 0.375 0.125 0.750
As16 0.625 0.750 0.875
As17 0.250 0.375 0.625
As18 0.000 0.500 0.000
As19 0.750 0.625 0.375
As20 0.125 0.375 0.250
Zn1 0.250 0.625 0.875
Zn2 0.625 0.375 0.750
Zn3 0.375 0.750 0.625
Zn4 0.125 0.875 0.750
Zn5 0.625 0.250 0.375
Zn6 0.875 0.750 0.125
Zn7 0.750 0.375 0.125
Zn8 0.125 0.250 0.875
Zn9 0.750 0.875 0.625
Zn10 0.375 0.625 0.250
Zn11 0.875 0.125 0.250
Zn12 0.250 0.125 0.375
In1 0.826 0.893 0.264
In2 0.567 0.938 0.674
In3 0.893 0.826 0.764
In4 0.628 0.062 0.236
In5 0.764 0.438 0.372
In6 0.933 0.107 0.872
In7 0.236 0.674 0.107
In8 0.236 0.562 0.628
In9 0.326 0.764 0.393
In10 0.372 0.433 0.107
In11 0.264 0.872 0.938
In12 0.893 0.067 0.628
In13 0.128 0.393 0.067
In14 0.438 0.764 0.872
In15 0.264 0.393 0.826
In16 0.438 0.674 0.067
In17 0.674 0.438 0.567
In18 0.393 0.264 0.326
In19 0.067 0.893 0.128
In20 0.562 0.326 0.933
In21 0.826 0.933 0.062
In22 0.567 0.628 0.393
In23 0.938 0.372 0.264
In24 0.736 0.128 0.062
In25 0.562 0.236 0.128
In26 0.107 0.174 0.236
In27 0.433 0.062 0.326
In28 0.393 0.128 0.567
In29 0.933 0.826 0.562
In30 0.764 0.326 0.893
In31 0.872 0.264 0.438
In32 0.174 0.067 0.938
In33 0.938 0.567 0.174
In34 0.607 0.872 0.433
In35 0.128 0.736 0.562
In36 0.326 0.562 0.433
In37 0.628 0.567 0.893
In38 0.433 0.372 0.607
In39 0.607 0.736 0.674
In40 0.107 0.933 0.372
In41 0.067 0.174 0.438
In42 0.174 0.107 0.736
In43 0.372 0.938 0.764
In44 0.872 0.607 0.933
In45 0.062 0.628 0.736
In46 0.062 0.433 0.826
In47 0.674 0.236 0.607
In48 0.736 0.607 0.174

For the density of states at the Fermi level, the calculation gives 37.294 states/eV per cell. The formation energy from the elements is 50 meV/atom.

(10)
Here is Nd4SmGa after structural relaxation from Alexandria via LeMat-Bulk. Energies are from GGA-PBE.

Cell lengths 3.659, 3.659, 14.282 Å; angles 90.00, 90.00, 90.00 degrees
Positions (direct):
Nd1 0.500 0.500 0.819
Nd2 0.000 0.000 0.369
Nd3 0.500 0.500 0.181
Nd4 0.000 0.000 0.631
Ga1 0.500 0.500 0.500
Sm1 0.000 0.000 0.000

For the density of states at the Fermi level, the calculation gives 8.367 states/eV per cell. The formation energy from the elements is -160 meV/atom. The excess energy over the best structure of this formula in the dataset comes out at 0 kJ/mol of formula units.

(11)
Here is NbAg3Br9 after structural relaxation from Alexandria via LeMat-Bulk. Energies are from GGA-PBE.

Cell lengths 8.849, 11.198, 12.375 Å; angles 74.72, 69.05, 66.73 degrees
Positions (direct):
Ag1 0.780 0.861 0.890
Ag2 0.873 0.205 0.671
Ag3 0.858 0.011 0.096
Ag4 0.470 0.361 0.390
Ag5 0.251 0.705 0.171
Ag6 0.035 0.511 0.596
Nb1 0.558 0.006 0.532
Nb2 0.904 0.506 0.032
Br1 0.625 0.066 0.001
Br2 0.600 0.713 0.052
Br3 0.254 0.180 0.550
Br4 0.321 0.459 0.223
Br5 0.622 0.129 0.306
Br6 0.490 0.944 0.745
Br7 0.821 0.444 0.245
Br8 0.194 0.351 0.977
Br9 0.765 0.380 0.988
Br10 0.998 0.959 0.723
Br11 0.766 0.454 0.648
Br12 0.867 0.880 0.488
Br13 0.943 0.629 0.806
Br14 0.132 0.954 0.148
Br15 0.635 0.213 0.552
Br16 0.309 0.566 0.501
Br17 0.478 0.851 0.477
Br18 0.017 0.680 0.050

Its energy relative to the elements, uncorrected is -0.505 eV per atom. For the density of states at the Fermi level, the calculation gives 12.980 states/eV per cell.

(12)
Here is RbBi2O after structural relaxation from Alexandria via LeMat-Bulk. Energies are from GGA-PBE.

Cell lengths 7.498, 7.498, 7.548 Å; angles 60.22, 60.22, 90.00 degrees
Positions (direct):
Rb1 0.000 0.000 0.000
Rb2 0.750 0.250 0.500
O1 0.500 0.500 0.000
O2 0.250 0.750 0.500
Bi1 0.375 0.625 0.250
Bi2 0.375 0.125 0.250
Bi3 0.375 0.625 0.750
Bi4 0.875 0.625 0.750

Its energy relative to the elements, uncorrected is -0.383 eV per atom. For the density of states at the Fermi level, the calculation gives 1.449 states/eV per cell.

(13)
Here is KGeSb after structural relaxation from Alexandria via LeMat-Bulk. Energies are from GGA-PBE.

Cell lengths 4.213, 4.214, 13.432 Å; angles 81.00, 80.98, 60.01 degrees
Positions (direct):
Sb1 0.230 0.946 0.593
Sb2 0.523 0.240 0.714
Ge1 0.721 0.438 0.119
Ge2 0.031 0.749 0.188
K1 0.635 0.351 0.379
K2 0.118 0.835 0.929

Its energy relative to the elements, uncorrected is -0.099 eV per atom. For the density of states at the Fermi level, the calculation gives 3.505 states/eV per cell.

(14)
Here is Ce5Hg2Au2 after structural relaxation from Alexandria via LeMat-Bulk. Energies are from GGA-PBE.

Cell lengths 8.387, 7.602, 8.900 Å; angles 115.28, 90.00, 90.00 degrees
Last column: magnetic moment on the atom in μB.
Positions (direct):
Ce1 0.326 0.959 0.262  0.86
Ce2 0.174 0.197 0.738  0.86
Ce3 0.174 0.459 0.262  0.86
Ce4 0.000 0.000 0.000  0.87
Ce5 0.826 0.541 0.738  0.86
Ce6 0.674 0.303 0.262  0.86
Ce7 0.500 0.500 0.000  0.87
Ce8 0.674 0.041 0.738  0.86
Ce9 0.326 0.697 0.738  0.86
Ce10 0.826 0.803 0.262  0.86
Au1 0.126 0.628 0.000  0.02
Au2 0.874 0.372 0.000  0.02
Au3 0.374 0.128 0.000  0.02
Au4 0.626 0.872 0.000  0.02
Hg1 0.500 0.287 0.574  0.02
Hg2 0.500 0.713 0.426  0.02
Hg3 0.000 0.213 0.426  0.02
Hg4 0.000 0.787 0.574  0.02

For the density of states at the Fermi level, the calculation gives 67.861 states/eV per cell. The formation energy from the elements is -335 meV/atom.

(15)
Here is VGeI4 after structural relaxation from Alexandria via LeMat-Bulk. Energies are from GGA-PBE.

Cell lengths 4.193, 8.570, 7.331 Å; angles 116.86, 90.00, 104.16 degrees
Last column: magnetic moment on the atom in μB.
Positions (direct):
V1 0.500 0.000 0.500  2.61
I1 0.386 0.771 0.064  -0.02
I2 0.891 0.782 0.537  -0.03
I3 0.109 0.218 0.463  -0.03
I4 0.614 0.229 0.936  -0.02
Ge1 0.000 0.000 0.000  0.03

Its energy relative to the elements, uncorrected is -0.379 eV per atom.

(16)
Here is Ba2ScCrPb after structural relaxation from Alexandria via LeMat-Bulk. Energies are from GGA-PBE.

Cell lengths 6.455, 5.506, 6.455 Å; angles 90.00, 90.00, 90.00 degrees
Last column: magnetic moment on the atom in μB.
Positions (direct):
Sc1 0.000 0.000 0.000  -0.73
Pb1 0.000 0.500 0.000  -0.03
Ba1 0.500 0.000 0.000  -0.11
Ba2 0.000 0.000 0.500  -0.20
Cr1 0.500 0.500 0.500  4.27

For the density of states at the Fermi level, the calculation gives 3.680 states/eV per cell. The formation energy from the elements is 759 meV/atom.

(17)
Here is V4InSe8 after structural relaxation from Alexandria via LeMat-Bulk. Energies are from GGA-PBE.

Cell lengths 6.753, 6.753, 8.921 Å; angles 67.76, 67.76, 60.00 degrees
Last column: magnetic moment on the atom in μB.
Positions (direct):
In1 0.500 0.500 0.500  0.01
V1 0.000 0.000 0.000  0.89
V2 0.500 0.500 0.000  0.20
V3 0.500 0.000 0.000  0.20
V4 0.000 0.500 0.000  0.20
Se1 0.232 0.232 0.805  -0.03
Se2 0.768 0.268 0.195  -0.03
Se3 0.268 0.768 0.195  -0.03
Se4 0.732 0.232 0.805  -0.03
Se5 0.232 0.732 0.805  -0.03
Se6 0.768 0.768 0.195  -0.03
Se7 0.268 0.268 0.196  -0.02
Se8 0.732 0.732 0.804  -0.02

Its energy relative to the elements, uncorrected is -0.645 eV per atom. For the density of states at the Fermi level, the calculation gives 9.689 states/eV per cell. The excess energy over the best structure of this formula in the dataset comes out at 66 kJ/mol of formula units.

(18)
Here is Ti3CoH after structural relaxation from Alexandria via LeMat-Bulk. Energies are from GGA-PBE.

Cell lengths 4.502, 4.502, 4.502 Å; angles 90.00, 90.00, 90.00 degrees
Last column: magnetic moment on the atom in μB.
Positions (direct):
Ti1 0.500 0.000 0.000  0.54
Ti2 0.000 0.500 0.000  0.26
Ti3 0.000 0.000 0.500  0.19
Co1 0.000 0.000 0.000  -0.08
H1 0.500 0.500 0.500  -0.01

For the density of states at the Fermi level, the calculation gives 7.244 states/eV per cell. The excess energy over the best structure of this formula in the dataset comes out at 494 kJ/mol of formula units.

(19)
Here is Ac5Si2Te2 after structural relaxation from Alexandria via LeMat-Bulk. Energies are from GGA-PBE.

Cell lengths 8.607, 8.695, 9.396 Å; angles 90.00, 62.74, 90.00 degrees
Positions (direct):
Ac1 0.000 0.000 0.000
Ac2 0.466 0.158 0.750
Ac3 0.034 0.658 0.250
Ac4 0.966 0.342 0.750
Ac5 0.284 0.658 0.750
Ac6 0.216 0.158 0.250
Ac7 0.500 0.500 0.000
Ac8 0.716 0.342 0.250
Ac9 0.534 0.842 0.250
Ac10 0.784 0.842 0.750
Si1 0.854 0.645 0.000
Si2 0.646 0.145 0.000
Si3 0.354 0.855 0.000
Si4 0.146 0.355 0.000
Te1 0.702 0.500 0.597
Te2 0.298 0.500 0.403
Te3 0.202 0.000 0.597
Te4 0.798 0.000 0.403

Its energy relative to the elements, uncorrected is -0.915 eV per atom. For the density of states at the Fermi level, the calculation gives 16.493 states/eV per cell.

Mass density, respectively: 4374; 3923; 6630; 8510; 6342; 14115; 6909; 8373; 5902; 6922; 3622; 5712; 3817; 9681; 4638; 4189; 4979; 3705; 7684 kg/m3.
Calculated total energy, respectively: -0.1756; -0.1728; -0.2615; -0.1336; -0.1366; -0.2416; -0.1620; -0.2359; -0.1083; -0.1701; -0.1138; -0.1398; -0.1241; -0.1627; -0.1360; -0.1449; -0.2133; -0.2205; -0.1875 hartree per atom.